Record 1
A plane-wave DFT calculation with GGA-PBE was carried out for Y3Tm5Bi8 after structural relaxation.

Cell and atoms, written as extended XYZ:
```
16
Lattice="-4.8679 2.6998 -6.9517 -7.3300 -4.4957 -2.3175 -8.0367 3.6013 1.3219" Properties=species:S:1:pos:R:3 pbc="T T T"
Y -6.4523 3.1505 -2.8149
Y -4.0184 1.8006 0.6609
Y -7.6834 -0.4472 -0.4978
Tm -2.4340 1.3499 -3.4758
Tm -6.0990 -0.8980 -4.6346
Tm 0.0000 0.0000 0.0000
Tm -3.6650 -2.2478 -1.1588
Tm -10.1173 0.9027 -3.9737
Bi -9.0977 2.2612 -1.3225
Bi -12.7438 0.0250 -2.4753
Bi -11.5191 3.6042 -4.7805
Bi -15.1914 1.3703 -5.9434
Bi -11.1370 -0.4559 -6.6248
Bi -7.4908 1.7804 -5.4720
Bi -8.7155 -1.7988 -3.1669
Bi -5.0433 0.4351 -2.0039
```

calculated total energy: -5.374 eV/atom


Record 2
A plane-wave DFT calculation with GGA-PBE was carried out for K9Nb2As6 after structural relaxation.

Cell and atoms, written as extended XYZ:
```
34
Lattice="-7.1249 5.6562 -1.5360 -4.8702 -7.1554 -3.7581 -5.4777 -3.8963 11.0614" Properties=species:S:1:pos:R:3 pbc="T T T"
K -6.2828 -2.8840 -0.8427
K -10.5974 -6.5959 2.1435
K -11.1113 -5.5333 6.9131
K -5.9050 0.3080 1.8774
K -8.9163 -1.4239 7.3494
K -9.2609 -2.8799 1.1909
K -9.1396 -3.6308 -3.6634
K -11.1665 -3.1295 4.2256
K -9.1154 2.1159 5.3668
K -9.7205 0.5160 0.9555
K -11.9557 1.2553 8.2518
K -11.9852 0.0315 3.8403
K -11.7244 -1.3329 -1.9733
K -8.3577 -8.1280 4.8737
K -3.0326 -2.9531 -0.3508
K -3.0140 -1.7207 4.0584
K -7.7465 -5.1735 7.5023
K -2.0048 0.5935 0.7786
Nb -6.9600 -2.7854 4.3158
Nb -6.7914 1.2031 -1.7690
Nb -14.3418 -3.6659 6.7204
Nb -6.8200 -5.5147 2.2208
As -8.3994 -4.9100 4.1823
As -7.9957 -5.6548 0.0102
As -4.5177 0.2269 -1.3512
As -8.4303 -0.7894 3.9264
As -13.6793 -5.2652 4.9060
As -8.4914 -0.7146 -1.9587
As -12.5881 -1.7817 6.9090
As -7.4832 2.9234 -0.0723
As -12.6318 -1.9220 1.2006
As -9.5567 -8.4855 7.9847
As -5.6339 -2.6671 6.4475
As -5.4225 -3.3477 2.3326
```

calculated total energy: -3.902 eV/atom


Record 3
A plane-wave DFT calculation with GGA-PBE was carried out for Ba6Pt2I3Br after structural relaxation.

Cell and atoms, written as extended XYZ:
```
12
Lattice="8.2218 0.0026 0.0001 -4.1066 7.1227 0.0001 -1.3720 -2.3756 8.6382" Properties=species:S:1:pos:R:3 pbc="T T T"
Ba 4.2296 2.1886 6.8551
Ba 2.6349 4.5622 1.7594
Ba -1.4864 2.5612 1.7833
Ba -0.2181 4.7573 6.8551
Ba 0.1083 0.1876 6.8790
Ba 2.9613 -0.0075 1.7833
Pt -0.0044 4.7535 0.0001
Pt 4.1195 2.3718 0.0001
I -2.8417 4.8082 4.3192
I 5.5849 -0.0584 4.3192
I 1.3716 2.3749 4.3192
Br 0.0000 0.0000 0.0000
```

calculated total energy: -3.763 eV/atom
formation energy from raw total energies: -15.22 eV per formula unit


Record 4
A plane-wave DFT calculation with GGA-PBE was carried out for HfZn2I after structural relaxation.

Cell and atoms, written as extended XYZ:
```
4
Lattice="3.1772 -3.8625 -0.3116 -1.7492 -4.6229 -0.8238 0.8036 -2.2334 -4.4132" Properties=species:S:1:pos:R:3 pbc="T T T"
I 0.0000 0.0000 0.0000
Zn 0.5579 -2.6797 -1.3872
Zn 1.6736 -8.0391 -4.1615
Hf 1.1158 -5.3594 -2.7743
```

calculated total energy: -2.835 eV/atom
formation energy from raw total energies: 2.71 eV per formula unit


Record 5
A plane-wave DFT calculation with GGA-PBE was carried out for CeErZnSi after structural relaxation.

Cell and atoms, written as extended XYZ:
```
4
Lattice="5.0043 0.0000 0.0000 2.5022 4.3339 0.0000 2.5022 1.4446 4.0860" Properties=species:S:1:pos:R:3 pbc="T T T"
Zn 2.5022 1.4446 1.0215
Si 7.5065 4.3339 3.0645
Ce 5.0043 2.8893 2.0430
Er 0.0000 0.0000 0.0000
```

calculated total energy: -4.714 eV/atom
formation energy from raw total energies: -1.66 eV per formula unit


Record 6
A plane-wave DFT calculation with GGA-PBE was carried out for Si23Ar4 after structural relaxation.

Cell and atoms, written as extended XYZ:
```
54
Lattice="10.3368 0.0000 0.0000 0.0000 10.3368 0.0000 0.0000 0.0000 10.3368" Properties=species:S:1:pos:R:3 pbc="T T T"
Ar 0.0000 0.0000 0.0000
Ar 5.1684 5.1684 5.1684
Ar 2.5842 5.1684 0.0000
Ar 7.7526 5.1684 0.0000
Ar 5.1684 0.0000 2.5842
Ar 5.1684 0.0000 7.7526
Ar 0.0000 2.5842 5.1684
Ar 0.0000 7.7526 5.1684
Si 2.5842 0.0000 5.1684
Si 7.7526 0.0000 5.1684
Si 0.0000 5.1684 2.5842
Si 0.0000 5.1684 7.7526
Si 5.1684 2.5842 0.0000
Si 5.1684 7.7526 0.0000
Si 7.0734 7.0734 7.0734
Si 7.0734 3.2634 3.2634
Si 3.2634 7.0734 3.2634
Si 3.2634 3.2634 7.0734
Si 8.4317 8.4317 8.4317
Si 8.4317 1.9050 1.9050
Si 1.9050 8.4317 1.9050
Si 1.9050 1.9050 8.4317
Si 3.2634 3.2634 3.2634
Si 3.2634 7.0734 7.0734
Si 7.0734 3.2634 7.0734
Si 7.0734 7.0734 3.2634
Si 1.9050 1.9050 1.9050
Si 1.9050 8.4317 8.4317
Si 8.4317 1.9050 8.4317
Si 8.4317 8.4317 1.9050
Si 0.0000 7.1645 9.1134
Si 0.0000 3.1722 1.2234
Si 0.0000 7.1645 1.2234
Si 0.0000 3.1722 9.1134
Si 7.1645 9.1134 0.0000
Si 7.1645 1.2234 0.0000
Si 3.1722 9.1134 0.0000
Si 3.1722 1.2234 0.0000
Si 9.1134 0.0000 7.1645
Si 9.1134 0.0000 3.1722
Si 1.2234 0.0000 3.1722
Si 1.2234 0.0000 7.1645
Si 8.3406 5.1684 6.3918
Si 8.3406 5.1684 3.9450
Si 1.9961 5.1684 3.9450
Si 1.9961 5.1684 6.3918
Si 5.1684 6.3918 8.3406
Si 5.1684 3.9450 1.9961
Si 5.1684 6.3918 1.9961
Si 5.1684 3.9450 8.3406
Si 6.3918 8.3406 5.1684
Si 6.3918 1.9961 5.1684
Si 3.9450 8.3406 5.1684
Si 3.9450 1.9961 5.1684
```

calculated total energy: -4.494 eV/atom
formation energy from raw total energies: 3.64 eV per formula unit